Al2CuSi2 (GGA-PBEsol, optimized geometry); mass density = 3.44 g cm⁻³; SG = No. 139; N(E_F) = 1.57 states/eV/f.u.; total DFT energy (no corrections) = -4.452 eV/atom; formation energy (no corrections) = 0.35 eV per atom
1.0
4.061 0.000 0.000
0.000 4.061 0.000
0.000 0.000 10.175
Al Cu Si
4 2 4
Direct
0.000 0.500 0.250
0.000 0.500 0.750
0.500 0.000 0.250
0.500 0.000 0.750
0.000 0.000 0.000
0.500 0.500 0.500
0.000 0.000 0.390
0.000 0.000 0.610
0.500 0.500 0.110
0.500 0.500 0.890